The following is a DFT calculation (PBE-GGA) of RePb2Au after structural relaxation.

abc: 3.620 4.482 5.687
angles: 90.00 108.51 90.00
Element x y z (fractional)
Re1 0.000 0.000 0.000
Pb1 0.429 0.500 0.856
Pb2 0.725 0.000 0.451
Au1 0.156 0.500 0.309

Values from the calculation:
SG: Pm, No. 6
offset from the most stable computed form: 40 meV per atom
calculated formation energy: 59.5 kJ per mole of atoms
uncorrected energy: -20.67 eV per cell
M_tot: 0.000 μB/cell